Entry 1:
The following is a DFT calculation (PBE) of a geometry-optimized Bi2PdIO8 structure.

Calculated values
Density of states at the Fermi level in states/eV/cell: 4.8
Symmetry: No. 2
Formation energy without anion corrections in eV/atom: -0.62
Total magnetic moment in Bohr magnetons per cell: 0.52
Volume in A^3/atom: 14.5

POSCAR file:
```
Bi2PdIO8
1.0
4.940 0.000 0.000
0.386 5.024 0.000
0.880 1.061 6.994
Bi Pd I O
2 1 1 8
direct
0.040 0.013 0.243 Bi
0.960 0.987 0.757 Bi
0.500 0.500 0.000 Pd
0.500 0.500 0.500 I
0.174 0.733 0.520 O
0.196 0.776 0.998 O
0.337 0.223 0.680 O
0.373 0.367 0.284 O
0.627 0.633 0.716 O
0.663 0.777 0.320 O
0.804 0.224 0.002 O
0.826 0.267 0.480 O
```

=====

Entry 2:
The following is a DFT calculation (PBE) of a geometry-optimized NaZr5N6 structure.

Calculated values
Density of states at the Fermi level in states/eV/cell: 3.3
Symmetry: No. 12
Formation energy without anion corrections in eV/atom: -1.50
Total magnetic moment in Bohr magnetons per cell: 0.00
Volume in A^3/atom: 12.3

POSCAR file:
```
NaZr5N6
1.0
2.834 -4.893 0.000
2.834 4.893 0.000
-1.886 0.000 5.323
Na Zr N
1 5 6
direct
0.000 0.000 0.000 Na
0.162 0.838 0.500 Zr
0.334 0.666 0.000 Zr
0.500 0.500 0.500 Zr
0.666 0.334 0.000 Zr
0.838 0.162 0.500 Zr
0.087 0.430 0.259 N
0.258 0.258 0.747 N
0.430 0.087 0.259 N
0.570 0.913 0.741 N
0.742 0.742 0.253 N
0.913 0.570 0.741 N
```

=====

Entry 3:
The following is a DFT calculation (PBE) of a geometry-optimized RbNaBe structure.

Calculated values
Density of states at the Fermi level in states/eV/cell: 4.2
Symmetry: No. 1
Total magnetic moment in Bohr magnetons per cell: 0.00
Distance to the lowest polymorph of the same formula in kJ/mol of formula units: 20.0
Volume in A^3/atom: 43.4

POSCAR file:
```
RbNaBe
1.0
4.164 0.000 0.000
-0.049 6.371 0.000
-1.549 -0.042 9.823
Rb Na Be
2 2 2
direct
0.000 0.000 0.000 Rb
0.234 0.496 0.674 Rb
0.327 0.000 0.411 Na
0.697 0.503 0.273 Na
0.418 0.996 0.689 Be
0.907 0.995 0.660 Be
```